Computed, not measured: Ni2IrPt at its PBEsol-relaxed geometry at the SCAN level of DFT.

DOS at the Fermi energy: 4.1 states/eV/cell
volume: 50 Å³/f.u.
uncorrected energy: -43.429 eV/atom
ρ: 16.76 Mg/m³
E above lowest polymorph: 53 meV per atom
formation energy from the elements: -0.0198 eV per atom

abc: 4.5418 4.5418 4.5418
angles: 132.47 132.47 69.49
Atoms (fractional coordinates):
Ni: 0.0000 0.0000 0.0000
Ni: 0.7500 0.2500 0.5000
Ir: 0.2500 0.7500 0.5000
Pt: 0.5000 0.5000 0.0000

Computed, not measured: Ni2IrPt at its PBEsol-relaxed geometry at the SCAN level of DFT.

DOS at the Fermi energy: 4.4 states/eV/cell
volume: 50 Å³/f.u.
uncorrected energy: -43.442 eV/atom
ρ: 16.75 Mg/m³
E above lowest polymorph: 41 meV per atom
formation energy from the elements: -0.0320 eV per atom

abc: 2.6624 3.5218 5.3366
angles: 90.00 90.00 90.00
Atoms (fractional coordinates):
Ni: 0.0000 0.0000 0.2398
Ni: 0.0000 0.0000 0.7602
Ir: 0.5000 0.5000 0.0000
Pt: 0.5000 0.5000 0.5000

Computed, not measured: Ni2IrPt at its PBEsol-relaxed geometry at the SCAN level of DFT.

DOS at the Fermi energy: 5.1 states/eV/cell
volume: 50 Å³/f.u.
uncorrected energy: -43.416 eV/atom
ρ: 16.76 Mg/m³
E above lowest polymorph: 67 meV per atom
formation energy from the elements: -0.0063 eV per atom

abc: 4.4290 4.4290 2.6541
angles: 90.00 90.00 106.15
Atoms (fractional coordinates):
Ni: 0.0000 0.5000 0.0000
Ni: 0.5000 0.0000 0.0000
Ir: 0.0000 0.0000 0.5000
Pt: 0.5000 0.5000 0.5000

Computed, not measured: NiIr2Pt at its PBEsol-relaxed geometry at the SCAN level of DFT.

DOS at the Fermi energy: 3.0 states/eV/cell
volume: 54 Å³/f.u.
uncorrected energy: -57.167 eV/atom
ρ: 19.72 Mg/m³
E above lowest polymorph: 0 meV per atom
formation energy from the elements: -0.0260 eV per atom

abc: 4.6209 4.6209 4.6209
angles: 131.79 131.79 70.56
Atoms (fractional coordinates):
Ni: 0.0000 0.0000 0.0000
Ir: 0.2500 0.7500 0.5000
Ir: 0.5000 0.5000 0.0000
Pt: 0.7500 0.2500 0.5000

Computed, not measured: NiIr2Pt at its PBEsol-relaxed geometry at the SCAN level of DFT.

DOS at the Fermi energy: 4.2 states/eV/cell
volume: 54 Å³/f.u.
uncorrected energy: -57.150 eV/atom
ρ: 19.65 Mg/m³
E above lowest polymorph: 17 meV per atom
formation energy from the elements: -0.0090 eV per atom

abc: 2.7057 3.7442 5.3241
angles: 90.00 90.00 90.00
Atoms (fractional coordinates):
Ni: 0.0000 0.0000 0.0000
Ir: 0.0000 0.0000 0.5165
Ir: 0.5000 0.5000 0.7543
Pt: 0.5000 0.5000 0.2451

Computed, not measured: NiIr2Pt at its PBEsol-relaxed geometry at the SCAN level of DFT.

DOS at the Fermi energy: 3.7 states/eV/cell
volume: 55 Å³/f.u.
uncorrected energy: -56.931 eV/atom
ρ: 19.14 Mg/m³
E above lowest polymorph: 236 meV per atom
formation energy from the elements: 0.2102 eV per atom

abc: 2.6622 2.6622 9.0344
angles: 90.00 90.00 120.13
Atoms (fractional coordinates):
Ni: 0.0000 0.0000 0.0000
Ir: 0.5000 0.5000 0.2348
Ir: 0.5000 0.5000 0.7652
Pt: 0.0000 0.0000 0.5000

Computed, not measured: Ni2IrPt at its PBEsol-relaxed geometry at the SCAN level of DFT.

DOS at the Fermi energy: 2.9 states/eV/cell
volume: 51 Å³/f.u.
uncorrected energy: -43.482 eV/atom
ρ: 16.47 Mg/m³
E above lowest polymorph: 1 meV per atom
formation energy from the elements: -0.0723 eV per atom

abc: 4.4273 4.4273 4.6154
angles: 99.88 99.88 34.88
Atoms (fractional coordinates):
Ni: 0.2477 0.2477 0.2381
Ni: 0.7523 0.7523 0.7619
Ir: 0.5000 0.5000 0.0000
Pt: 0.0000 0.0000 0.5000

Computed, not measured: NiIr2Pt at its PBEsol-relaxed geometry at the SCAN level of DFT.

DOS at the Fermi energy: 3.7 states/eV/cell
volume: 54 Å³/f.u.
uncorrected energy: -57.139 eV/atom
ρ: 19.66 Mg/m³
E above lowest polymorph: 28 meV per atom
formation energy from the elements: 0.0020 eV per atom

abc: 4.6065 4.6065 4.6223
angles: 100.36 100.36 34.04
Atoms (fractional coordinates):
Ni: 0.0000 0.0000 0.0000
Ir: 0.2555 0.2555 0.7592
Ir: 0.7445 0.7445 0.2408
Pt: 0.5000 0.5000 0.5000

Computed, not measured: Ni2IrPt at its PBEsol-relaxed geometry at the SCAN level of DFT.

DOS at the Fermi energy: 4.5 states/eV/cell
volume: 50 Å³/f.u.
uncorrected energy: -43.424 eV/atom
ρ: 16.70 Mg/m³
E above lowest polymorph: 59 meV per atom
formation energy from the elements: -0.0142 eV per atom

abc: 4.5389 4.5389 4.4152
angles: 100.69 100.69 34.21
Atoms (fractional coordinates):
Ni: 0.0000 0.0000 0.0000
Ni: 0.7464 0.7464 0.2491
Ir: 0.4932 0.4932 0.4848
Pt: 0.2474 0.2474 0.7539

Computed, not measured: Ni2IrPt at its PBEsol-relaxed geometry at the SCAN level of DFT.

DOS at the Fermi energy: 4.9 states/eV/cell
volume: 50 Å³/f.u.
uncorrected energy: -43.395 eV/atom
ρ: 16.64 Mg/m³
E above lowest polymorph: 88 meV per atom
formation energy from the elements: 0.0145 eV per atom

abc: 2.6616 3.6676 5.1588
angles: 90.00 90.00 90.00
Atoms (fractional coordinates):
Ni: 0.0000 0.0000 0.0000
Ni: 0.5000 0.5000 0.2455
Ir: 0.5000 0.5000 0.7669
Pt: 0.0000 0.0000 0.4915

Computed, not measured: NiIr2Pt at its PBEsol-relaxed geometry at the SCAN level of DFT.

DOS at the Fermi energy: 4.1 states/eV/cell
volume: 55 Å³/f.u.
uncorrected energy: -56.942 eV/atom
ρ: 19.39 Mg/m³
E above lowest polymorph: 225 meV per atom
formation energy from the elements: 0.1992 eV per atom

abc: 5.2187 5.2187 5.2187
angles: 150.33 128.42 60.64
Atoms (fractional coordinates):
Ni: 0.0000 0.0000 0.0000
Ir: 0.5104 0.5104 0.0000
Ir: 0.7619 0.2619 0.5000
Pt: 0.2447 0.7447 0.5000

Computed, not measured: Ni2IrPt at its PBEsol-relaxed geometry at the SCAN level of DFT.

DOS at the Fermi energy: 2.8 states/eV/cell
volume: 51 Å³/f.u.
uncorrected energy: -43.483 eV/atom
ρ: 16.48 Mg/m³
E above lowest polymorph: 0 meV per atom
formation energy from the elements: -0.0730 eV per atom

abc: 4.4393 2.6514 4.6100
angles: 90.00 110.40 90.00
Atoms (fractional coordinates):
Ni: 0.0000 0.0000 0.0000
Ni: 0.0000 0.5000 0.5000
Ir: 0.5000 0.0000 0.5000
Pt: 0.5000 0.5000 0.0000

> What is the volume in the sixth record?

55 Å³/f.u.

What did the sixth record say?
Computed, not measured: NiIr2Pt at its PBEsol-relaxed geometry at the SCAN level of DFT.

DOS at the Fermi energy: 3.7 states/eV/cell
volume: 55 Å³/f.u.
uncorrected energy: -56.931 eV/atom
ρ: 19.14 Mg/m³
E above lowest polymorph: 236 meV per atom
formation energy from the elements: 0.2102 eV per atom

abc: 2.6622 2.6622 9.0344
angles: 90.00 90.00 120.13
Atoms (fractional coordinates):
Ni: 0.0000 0.0000 0.0000
Ir: 0.5000 0.5000 0.2348
Ir: 0.5000 0.5000 0.7652
Pt: 0.0000 0.0000 0.5000